BaPuHg6 | Alexandria | GGA-PBE | optimized geometry; DFT formation energy = -2.13 eV per formula unit
1.0
5.3426 0.0000 0.0000
0.0000 5.7867 0.0000
0.0000 0.0000 7.2081
Hg Ba Pu
6 1 1
Direct
0.0000 0.6741 0.5000
0.0000 0.1753 0.7253
0.5000 0.2724 0.0000
0.0000 0.1753 0.2747
0.5000 0.8418 0.2782
0.5000 0.8418 0.7218
0.0000 0.6682 0.0000
0.5000 0.3509 0.5000